Entry 1:
DFT (PBE-GGA) results for crystalline La3In2Pd7 at its relaxed geometry.

It has space group I4/mmm (No. 139), with a = 4.206 Å, b = 4.206 Å, c = 29.897 Å, α = 90.00°, β = 90.00° and γ = 90.00°. The asymmetric unit holds La at (0.000, 0.000, 0.000), La at (0.000, 0.000, 0.182), In at (0.000, 0.000, 0.373), Pd at (0.000, 0.000, 0.281), Pd at (0.000, 0.000, 0.500) and Pd at (0.000, 0.500, 0.071).

Its calculated density is 8.737 g/cm3. The total moment is 0.000 μB/atom. As for the final energy: -5.3684 eV/atom. As for the calculated formation energy: -7.81 eV per formula unit.

=====

Entry 2:
DFT (PBE-GGA) results for crystalline AcEuNiPt at its relaxed geometry.

It has space group F-43m (No. 216), with a = 7.302 Å, b = 7.302 Å, c = 7.302 Å, α = 90.00°, β = 90.00° and γ = 90.00°. The asymmetric unit holds Ac at (0.000, 0.000, 0.000), Eu at (0.000, 0.000, 0.500), Ni at (0.250, 0.250, 0.750) and Pt at (0.250, 0.250, 0.250).

Its calculated density is 10.797 g/cm3. The total moment is 1.783 μB/atom. As for the final energy: -7.1029 eV/atom. As for the calculated formation energy: -2.21 eV per formula unit.

=====

Entry 3:
DFT (PBE-GGA) results for crystalline La3PmY4 at its relaxed geometry.

It has space group Pmn2_1 (No. 31), with a = 11.717 Å, b = 7.381 Å, c = 6.399 Å, α = 90.00°, β = 90.00° and γ = 90.00°. The asymmetric unit holds La at (0.000, 0.126, 0.000), La at (0.250, 0.123, 0.326), Pm at (0.000, 0.871, 0.500), Y at (0.000, 0.378, 0.497), Y at (0.000, 0.623, 0.998) and Y at (0.249, 0.621, 0.331).

Its calculated density is 5.505 g/cm3. The total moment is 0.000 μB/atom. As for the final energy: -5.6463 eV/atom. The polymorph energy (0 for the lowest one) comes out at 0 meV/atom. As for the calculated formation energy: 0.22 eV per formula unit.

=====

Entry 4:
DFT (PBE-GGA) results for crystalline YB3W at its relaxed geometry.

It has space group Cmcm (No. 63), with a = 3.534 Å, b = 19.941 Å, c = 3.187 Å, α = 90.00°, β = 90.00° and γ = 90.00°. The asymmetric unit holds Y at (0.000, 0.074, 0.250), B at (0.000, 0.327, 0.750), B at (0.000, 0.375, 0.250), B at (0.000, 0.478, 0.250) and W at (0.000, 0.208, 0.750).

Its calculated density is 9.025 g/cm3. The total moment is 0.000 μB/atom. As for the final energy: -8.3111 eV/atom. The polymorph energy (0 for the lowest one) comes out at 0 meV/atom. As for the calculated formation energy: -2.11 eV per formula unit.

=====

Entry 5:
DFT (PBE-GGA) results for crystalline SrMn2H2 at its relaxed geometry.

It has space group P4/mbm (No. 127), with a = 6.893 Å, b = 6.893 Å, c = 2.911 Å, α = 90.00°, β = 90.00° and γ = 90.00°. The asymmetric unit holds Sr at (0.000, 0.000, 0.000), Mn at (0.100, 0.400, 0.500) and H at (0.101, 0.601, 0.000).

Its calculated density is 4.791 g/cm3. The total moment is 0.686 μB/atom. As for the final energy: -4.5951 eV/atom. The polymorph energy (0 for the lowest one) comes out at 553 meV/atom.

=====

Entry 6:
DFT (PBE-GGA) results for crystalline YTc2Sb at its relaxed geometry.

It has space group R3m (No. 160, hexagonal axes), with a = 3.3216 Å, b = 3.3216 Å, c = 26.3050 Å, α = 90.00°, β = 90.00° and γ = 120.00°. The asymmetric unit holds Y at (0.0000, 0.0000, 0.0000), Tc at (0.0000, 0.0000, 0.4813), Tc at (0.0000, 0.0000, 0.7541) and Sb at (0.0000, 0.0000, 0.2317).

Its calculated density is 8.060 g/cm3. The formation energy (no corrections) comes out at 109 kJ/mol of formula units. The total moment is 0.000 μB/atom. As for the final energy: -7.5485 eV/atom.

=====

Q: Among the records above, which one has the highest calculated density?
A: AcEuNiPt